No. 1
## MgGeW3 (PBEsol)

Data for a relaxed MgGeW3 crystal.

VASP energy: -0.50818 Ry/atom
Symmetry: No. 221
Spin magnetization: 0.0 μB per formula unit

Lattice parameters (Å, degrees): 4.519 4.519 4.519 90.00 90.00 90.00
Element x y z (fractional)
Mg 0.000 0.000 0.000
Ge 0.500 0.500 0.500
W 0.000 0.000 0.500
W 0.000 0.500 0.000
W 0.500 0.000 0.000

=====

No. 2
## Y2MgGe2 (PBEsol)

Data for a relaxed Y2MgGe2 crystal.

VASP energy: -0.43364 Ry/atom
Symmetry: No. 127
Spin magnetization: 0.0 μB per formula unit

Lattice parameters (Å, degrees): 7.205 7.205 4.187 90.00 90.00 90.00
Element x y z (fractional)
Y 0.177 0.323 0.000
Y 0.323 0.823 0.000
Y 0.677 0.177 0.000
Y 0.823 0.677 0.000
Mg 0.000 0.000 0.500
Mg 0.500 0.500 0.500
Ge 0.123 0.623 0.500
Ge 0.377 0.123 0.500
Ge 0.623 0.877 0.500
Ge 0.877 0.377 0.500

=====

No. 3
## MgZnGe3 (PBEsol)

Data for a relaxed MgZnGe3 crystal.

VASP energy: -0.23041 Ry/atom
Symmetry: No. 221
Spin magnetization: 0.0 μB per formula unit

Lattice parameters (Å, degrees): 4.809 4.809 4.809 90.00 90.00 90.00
Element x y z (fractional)
Mg 0.000 0.000 0.000
Zn 0.500 0.500 0.500
Ge 0.000 0.500 0.500
Ge 0.500 0.000 0.500
Ge 0.500 0.500 0.000

=====

No. 4
## MgZrGe3 (PBEsol)

Data for a relaxed MgZrGe3 crystal.

VASP energy: -0.32441 Ry/atom
Symmetry: No. 221
Spin magnetization: 0.0 μB per formula unit

Lattice parameters (Å, degrees): 4.781 4.781 4.781 90.00 90.00 90.00
Element x y z (fractional)
Mg 0.000 0.000 0.000
Zr 0.500 0.500 0.500
Ge 0.000 0.000 0.500
Ge 0.000 0.500 0.000
Ge 0.500 0.000 0.000

=====

No. 5
## Mn3Ge (PBEsol)

Data for a relaxed Mn3Ge crystal.

VASP energy: -0.63625 Ry/atom
Symmetry: No. 225
Spin magnetization: 1.0 μB per formula unit

Lattice parameters (Å, degrees): 4.003 4.003 4.003 60.00 60.00 60.00
Element x y z (fractional)
Mn 0.000 0.000 0.000
Mn 0.250 0.250 0.250
Mn 0.750 0.750 0.750
Ge 0.500 0.500 0.500

=====

No. 6
## Mn2Ge (PBEsol)

Data for a relaxed Mn2Ge crystal.

VASP energy: -0.60013 Ry/atom
Symmetry: No. 194
Spin magnetization: 4.1 μB per formula unit

Lattice parameters (Å, degrees): 4.103 4.103 4.970 90.00 90.00 120.00
Element x y z (fractional)
Mn 0.000 0.000 0.000
Mn 0.000 0.000 0.500
Mn 0.333 0.667 0.250
Mn 0.667 0.333 0.750
Ge 0.333 0.667 0.750
Ge 0.667 0.333 0.250

=====

No. 7
## Mn3Ge (PBEsol)

Data for a relaxed Mn3Ge crystal.

VASP energy: -0.62907 Ry/atom
Symmetry: No. 221
Spin magnetization: 5.0 μB per formula unit

Lattice parameters (Å, degrees): 3.587 3.587 3.587 90.00 90.00 90.00
Element x y z (fractional)
Mn 0.000 0.000 0.500
Mn 0.000 0.500 0.000
Mn 0.500 0.000 0.000
Ge 0.500 0.500 0.500

=====

No. 8
## MnGe2 (PBEsol)

Data for a relaxed MnGe2 crystal.

VASP energy: -0.48853 Ry/atom
Symmetry: No. 140
Spin magnetization: 1.4 μB per formula unit

Lattice parameters (Å, degrees): 4.815 4.815 4.815 105.23 105.23 118.34
Element x y z (fractional)
Mn 0.250 0.250 0.000
Mn 0.750 0.750 0.000
Ge 0.157 0.657 0.814
Ge 0.343 0.157 0.500
Ge 0.657 0.843 0.500
Ge 0.843 0.343 0.186

=====

No. 9
## Mn3Ge (PBEsol)

Data for a relaxed Mn3Ge crystal.

VASP energy: -0.61491 Ry/atom
Symmetry: No. 166
Spin magnetization: 0.7 μB per formula unit

Lattice parameters (Å, degrees): 7.967 7.967 7.967 18.71 18.71 18.71
Element x y z (fractional)
Mn 0.000 0.000 0.000
Mn 0.253 0.253 0.253
Mn 0.747 0.747 0.747
Ge 0.500 0.500 0.500

=====

No. 10
## Mn3Ge5 (PBEsol)

Data for a relaxed Mn3Ge5 crystal.

VASP energy: -0.50660 Ry/atom
Symmetry: No. 118
Spin magnetization: 1.1 μB per formula unit

Lattice parameters (Å, degrees): 5.607 5.607 13.585 90.00 90.00 90.00
Element x y z (fractional)
Mn 0.000 0.000 0.000
Mn 0.000 0.000 0.327
Mn 0.000 0.000 0.673
Mn 0.000 0.500 0.250
Mn 0.000 0.500 0.587
Mn 0.000 0.500 0.913
Mn 0.500 0.000 0.087
Mn 0.500 0.000 0.413
Mn 0.500 0.000 0.750
Mn 0.500 0.500 0.173
Mn 0.500 0.500 0.500
Mn 0.500 0.500 0.827
Ge 0.155 0.268 0.449
Ge 0.160 0.805 0.151
Ge 0.171 0.671 0.750
Ge 0.195 0.160 0.849
Ge 0.232 0.345 0.051
Ge 0.268 0.845 0.551
Ge 0.305 0.660 0.349
Ge 0.329 0.171 0.250
Ge 0.340 0.305 0.651
Ge 0.345 0.768 0.949
Ge 0.655 0.232 0.949
Ge 0.660 0.695 0.651
Ge 0.671 0.829 0.250
Ge 0.695 0.340 0.349
Ge 0.732 0.155 0.551
Ge 0.768 0.655 0.051
Ge 0.805 0.840 0.849
Ge 0.829 0.329 0.750
Ge 0.840 0.195 0.151
Ge 0.845 0.732 0.449

=====

No. 11
## Mn3Ge (PBEsol)

Data for a relaxed Mn3Ge crystal.

VASP energy: -0.63068 Ry/atom
Symmetry: No. 194
Spin magnetization: 4.3 μB per formula unit

Lattice parameters (Å, degrees): 5.075 5.075 4.094 90.00 90.00 120.00
Element x y z (fractional)
Mn 0.161 0.322 0.250
Mn 0.161 0.839 0.250
Mn 0.322 0.161 0.750
Mn 0.678 0.839 0.250
Mn 0.839 0.161 0.750
Mn 0.839 0.678 0.750
Ge 0.333 0.667 0.750
Ge 0.667 0.333 0.250

=====

No. 12
## MnGeN2 (PBEsol)

Data for a relaxed MnGeN2 crystal.

Symmetry: No. 166
Spin magnetization: 3.2 μB per formula unit
Uncorrected formation energy: 0.204 eV per atom

Lattice parameters (Å, degrees): 6.046 6.046 6.046 28.24 28.24 28.24
Element x y z (fractional)
Mn 0.000 0.000 0.000
Ge 0.500 0.500 0.500
N 0.106 0.106 0.106
N 0.894 0.894 0.894

=====

No. 13
## Mn3GeN (PBEsol)

Data for a relaxed Mn3GeN crystal.

Symmetry: No. 63
Spin magnetization: 6.1 μB per formula unit
Uncorrected formation energy: -0.308 eV per atom

Lattice parameters (Å, degrees): 5.172 5.172 7.463 90.00 90.00 147.54
Element x y z (fractional)
Mn 0.040 0.960 0.750
Mn 0.371 0.629 0.535
Mn 0.371 0.629 0.965
Mn 0.629 0.371 0.035
Mn 0.629 0.371 0.465
Mn 0.960 0.040 0.250
Ge 0.251 0.749 0.250
Ge 0.749 0.251 0.750
N 0.000 0.000 0.000
N 0.000 0.000 0.500

=====

No. 14
## Mn3GeN (PBEsol)

Data for a relaxed Mn3GeN crystal.

Symmetry: No. 140
Spin magnetization: 0.7 μB per formula unit
Uncorrected formation energy: -0.362 eV per atom

Lattice parameters (Å, degrees): 5.357 5.357 5.357 122.32 122.32 86.03
Element x y z (fractional)
Mn 0.190 0.690 0.881
Mn 0.250 0.250 0.000
Mn 0.310 0.190 0.500
Mn 0.690 0.810 0.500
Mn 0.750 0.750 0.000
Mn 0.810 0.310 0.119
Ge 0.250 0.750 0.500
Ge 0.750 0.250 0.500
N 0.000 0.000 0.000
N 0.500 0.500 0.000

=====

No. 15
## Mn3GeN (PBEsol)

Data for a relaxed Mn3GeN crystal.

Symmetry: No. 221
Spin magnetization: 2.1 μB per formula unit
Uncorrected formation energy: -0.315 eV per atom

Lattice parameters (Å, degrees): 3.719 3.719 3.719 90.00 90.00 90.00
Element x y z (fractional)
Mn 0.000 0.000 0.500
Mn 0.000 0.500 0.000
Mn 0.500 0.000 0.000
Ge 0.500 0.500 0.500
N 0.000 0.000 0.000

=====

No. 16
## Mn12Ge4N3 (PBEsol)

Data for a relaxed Mn12Ge4N3 crystal.

Symmetry: No. 83
Spin magnetization: 13.1 μB per formula unit
Uncorrected formation energy: -0.284 eV per atom

Lattice parameters (Å, degrees): 5.149 5.149 7.549 90.00 90.00 90.00
Element x y z (fractional)
Mn 0.000 0.000 0.247
Mn 0.000 0.000 0.753
Mn 0.185 0.316 0.500
Mn 0.242 0.757 0.000
Mn 0.243 0.242 0.000
Mn 0.316 0.815 0.500
Mn 0.500 0.500 0.249
Mn 0.500 0.500 0.751
Mn 0.684 0.185 0.500
Mn 0.757 0.758 0.000
Mn 0.758 0.243 0.000
Mn 0.815 0.684 0.500
Ge 0.000 0.500 0.231
Ge 0.000 0.500 0.769
Ge 0.500 0.000 0.231
Ge 0.500 0.000 0.769
N 0.000 0.000 0.500
N 0.500 0.500 0.000
N 0.500 0.500 0.500

=====

No. 17
## MnGeN3 (PBEsol)

Data for a relaxed MnGeN3 crystal.

Symmetry: No. 221
Spin magnetization: 0.6 μB per formula unit
Uncorrected formation energy: 0.836 eV per atom

Lattice parameters (Å, degrees): 3.688 3.688 3.688 90.00 90.00 90.00
Element x y z (fractional)
Mn 0.000 0.000 0.000
Ge 0.500 0.500 0.500
N 0.000 0.000 0.500
N 0.000 0.500 0.000
N 0.500 0.000 0.000

=====

No. 18
## MnGeTeN2 (PBEsol)

Data for a relaxed MnGeTeN2 crystal.

Symmetry: No. 123
Spin magnetization: 0.0 μB per formula unit
Uncorrected formation energy: 0.721 eV per atom

Lattice parameters (Å, degrees): 3.736 3.736 5.254 90.00 90.00 90.00
Element x y z (fractional)
Mn 0.000 0.000 0.000
Ge 0.500 0.500 0.500
Te 0.000 0.000 0.500
N 0.000 0.500 0.000
N 0.500 0.000 0.000

=====

No. 19
## NaMnGe3 (PBEsol)

Data for a relaxed NaMnGe3 crystal.

VASP energy: -0.37485 Ry/atom
Symmetry: No. 221
Spin magnetization: 1.7 μB per formula unit

Lattice parameters (Å, degrees): 4.595 4.595 4.595 90.00 90.00 90.00
Element x y z (fractional)
Na 0.000 0.000 0.000
Mn 0.500 0.500 0.500
Ge 0.000 0.500 0.500
Ge 0.500 0.000 0.500
Ge 0.500 0.500 0.000

=====

No. 20
## MnNiGe2Se (PBEsol)

Data for a relaxed MnNiGe2Se crystal.

Symmetry: No. 123
Spin magnetization: 4.4 μB per formula unit
Uncorrected formation energy: 0.923 eV per atom

Lattice parameters (Å, degrees): 5.100 5.100 4.164 90.00 90.00 90.00
Element x y z (fractional)
Mn 0.000 0.000 0.000
Ni 0.500 0.500 0.000
Ge 0.000 0.500 0.500
Ge 0.500 0.000 0.500
Se 0.500 0.500 0.500